No. 1
# SrErSe2O8

An optimized crystal structure of SrErSe2O8 (GGA-PBE, Alexandria via LeMat-Bulk).

Cell and atoms, written as POSCAR:
```
SrErSe2O8
1.0
-2.3664 4.0814 -3.2687
-2.1243 -1.0867 5.2199
4.5556 4.9518 2.8849
O Se Er Sr
8 2 1 1
direct
0.1645 0.8377 0.7085 O
0.8355 0.1623 0.2915 O
0.6732 0.8355 0.7085 O
0.3333 0.6667 0.0002 O
0.6667 0.3333 0.9998 O
0.8377 0.6732 0.2915 O
0.3268 0.1645 0.2915 O
0.1623 0.3268 0.7085 O
0.6667 0.3333 0.2270 Se
0.3333 0.6667 0.7730 Se
0.0000 0.0000 0.5000 Er
0.0000 0.0000 0.0000 Sr
```

- ΔE_f (raw) (eV per formula unit) = -19.75
- density (g cm⁻³) = 4.30



No. 2
# Pr2NdTm4Sc

An optimized crystal structure of Pr2NdTm4Sc (GGA-PBE, Alexandria via LeMat-Bulk).

Cell and atoms, written as POSCAR:
```
Pr2NdTm4Sc
1.0
-0.6955 -7.3793 -5.8042
9.0364 -2.2836 1.3250
-7.7863 3.8569 7.8720
Tm Pr Sc Nd
8 4 2 2
direct
0.2499 0.2499 0.4826 Tm
0.7353 0.2650 0.5003 Tm
0.2350 0.7647 0.9997 Tm
0.7499 0.7499 0.9826 Tm
0.7501 0.7501 0.5174 Tm
0.2501 0.2501 0.0174 Tm
0.2647 0.7350 0.4997 Tm
0.7650 0.2353 0.0003 Tm
0.5000 0.5000 0.0000 Pr
0.0000 0.0000 0.5000 Pr
0.5000 0.0000 0.0000 Pr
0.5000 0.0000 0.5000 Pr
0.0000 0.0000 0.0000 Sc
0.5000 0.5000 0.5000 Sc
0.0000 0.5000 0.0000 Nd
0.0000 0.5000 0.5000 Nd
```

- density (g cm⁻³) = 7.35
- ΔE_f (eV/atom) = 0.41



No. 3
# LiTl2InSb2

An optimized crystal structure of LiTl2InSb2 (GGA-PBE, Alexandria via LeMat-Bulk).

Cell and atoms, written as POSCAR:
```
LiTl2InSb2
1.0
6.7359 0.0000 0.0000
0.0000 6.9333 0.0000
-3.3680 -3.4667 7.7220
Sb Tl In Li
4 4 2 2
direct
0.6413 0.3884 0.7768 Sb
0.1356 0.8884 0.7768 Sb
0.3587 0.6116 0.2232 Sb
0.8644 0.1116 0.2232 Sb
0.9109 0.6728 0.3455 Tl
0.5653 0.8272 0.6545 Tl
0.0891 0.3272 0.6545 Tl
0.4347 0.1728 0.3455 Tl
0.0000 0.2500 0.0000 In
0.0000 0.7500 0.0000 In
0.5000 0.2500 0.0000 Li
0.5000 0.7500 0.0000 Li
```

- ΔE_f (raw) (eV per formula unit) = -1.01
- density (g cm⁻³) = 7.13



No. 4
# NaErCdSn

An optimized crystal structure of NaErCdSn (GGA-PBE, Alexandria via LeMat-Bulk).

Cell and atoms, written as POSCAR:
```
NaErCdSn
1.0
-0.2841 4.9625 -1.6512
-4.5258 2.6155 0.3319
-0.5294 3.8881 3.4692
Cd Sn Er Na
1 1 1 1
direct
0.7500 0.7500 0.7500 Cd
0.2500 0.2500 0.2500 Sn
0.5000 0.5000 0.5000 Er
0.0000 0.0000 0.0000 Na
```

- density (g cm⁻³) = 6.89
- ΔE_f (eV/atom) = -0.33



Looking at total DFT energy (no corrections) for the records above, in order, we have -6.05 -4.41 -3.11 -3.03 eV/atom.